# ScZn2Re SCAN single point on PBEsol structure
# * ΔE_f: -15.2 kJ/mol of formula units
# * polymorph energy (0 for the lowest one): 0 meV per atom
data_ScZn2Re
_cell_length_a 5.425
_cell_length_b 8.013
_cell_length_c 2.761
_cell_angle_alpha 90.00
_cell_angle_beta 90.00
_cell_angle_gamma 90.00
_symmetry_space_group_name_H-M 'C m m m'
_symmetry_Int_Tables_number 65
_symmetry_space_group_name_Hall '-C 2 2'
loop_
_atom_site_label
_atom_site_type_symbol
_atom_site_fract_x
_atom_site_fract_y
_atom_site_fract_z
Sc1 Sc 0.000 0.000 0.000
Zn1 Zn 0.250 0.250 0.500
Re1 Re 0.000 0.500 0.000

=====

# Fe3TcH SCAN single point on PBEsol structure
# * electronic total energy: -91.4 eV/f.u.
data_Fe3TcH
_cell_length_a 3.558
_cell_length_b 3.558
_cell_length_c 3.558
_cell_angle_alpha 90.00
_cell_angle_beta 90.00
_cell_angle_gamma 90.00
_symmetry_space_group_name_H-M 'P m -3 m'
_symmetry_Int_Tables_number 221
_symmetry_space_group_name_Hall '-P 4 2 3'
loop_
_atom_site_label
_atom_site_type_symbol
_atom_site_fract_x
_atom_site_fract_y
_atom_site_fract_z
Fe1 Fe 0.000 0.000 0.500
Tc1 Tc 0.500 0.500 0.500
H1 H 0.000 0.000 0.000

=====

# Mg2BAuBr SCAN single point on PBEsol structure
# * energy relative to the elements, uncorrected: -0.234 eV/atom
data_Mg2BAuBr
_cell_length_a 5.223
_cell_length_b 5.223
_cell_length_c 4.009
_cell_angle_alpha 90.00
_cell_angle_beta 90.00
_cell_angle_gamma 90.00
_symmetry_space_group_name_H-M 'P 4/m m m'
_symmetry_Int_Tables_number 123
_symmetry_space_group_name_Hall '-P 4 2'
loop_
_atom_site_label
_atom_site_type_symbol
_atom_site_fract_x
_atom_site_fract_y
_atom_site_fract_z
Mg1 Mg 0.000 0.500 0.000
B1 B 0.000 0.000 0.500
Au1 Au 0.000 0.000 0.000
Br1 Br 0.500 0.500 0.500